No. 1
Here is VInO3 after structural relaxation from the Alexandria database. Energies are from PBE+U.

E in eV/atom: -6.524

Cell lengths 2.8358, 5.5408, 5.5513 Å; angles 61.05, 90.00, 90.00 degrees
Each line ends with the local moment (μB).
Positions (direct):
1 V 0.2201 0.0969 0.0585  1.91
2 In 0.2202 0.4331 0.3958  0.01
3 O 0.7202 0.2605 0.7443  -0.02
4 O 0.7201 0.2584 0.2208  -0.01
5 O 0.7202 0.7816 0.2247  -0.01

---

No. 2
Here is VInO2 after structural relaxation from the Alexandria database. Energies are from PBE+U.

E in eV/atom: -6.586
DOS at the Fermi energy in states/eV/cell: 0.53

Cell lengths 6.9299, 6.9299, 6.9299 Å; angles 25.74, 25.74, 25.74 degrees
Each line ends with the local moment (μB).
Positions (direct):
1 In 0.0000 0.0000 0.0000  0.01
2 O 0.8857 0.8857 0.8857  -0.02
3 O 0.1143 0.1143 0.1143  -0.02
4 V 0.5000 0.5000 0.5000  1.90

---

No. 3
Here is V3In5O12 after structural relaxation from the Alexandria database. Energies are from PBE+U.

E in eV/atom: -6.238
DOS at the Fermi energy in states/eV/cell: 8.50

Cell lengths 11.3451, 11.3451, 11.3451 Å; angles 109.47, 109.47, 109.47 degrees
Each line ends with the local moment (μB).
Positions (direct):
1 V 0.7500 0.3750 0.1250  1.79
2 V 0.8750 0.7500 0.1250  1.79
3 V 0.3750 0.7500 0.6250  1.79
4 V 0.2500 0.1250 0.3750  1.79
5 V 0.8750 0.1250 0.2500  1.79
6 V 0.3750 0.6250 0.2500  1.79
7 V 0.6250 0.3750 0.7500  1.79
8 V 0.1250 0.8750 0.7500  1.79
9 V 0.7500 0.8750 0.6250  1.79
10 V 0.6250 0.2500 0.3750  1.79
11 V 0.1250 0.2500 0.8750  1.79
12 V 0.2500 0.6250 0.8750  1.79
13 In 0.1250 0.3750 0.2500  0.07
14 In 0.0000 0.5000 0.0000  0.00
15 In 0.0000 0.0000 0.0000  0.00
16 In 0.3750 0.2500 0.1250  0.07
17 In 0.5000 0.0000 0.5000  0.00
18 In 0.5000 0.5000 0.0000  0.00
19 In 0.1250 0.7500 0.3750  0.07
20 In 0.7500 0.1250 0.8750  0.07
21 In 0.7500 0.6250 0.3750  0.07
22 In 0.3750 0.1250 0.7500  0.07
23 In 0.6250 0.8750 0.2500  0.07
24 In 0.5000 0.5000 0.5000  0.00
25 In 0.5000 0.0000 0.0000  0.00
26 In 0.0000 0.0000 0.5000  0.00
27 In 0.2500 0.3750 0.6250  0.07
28 In 0.2500 0.8750 0.1250  0.07
29 In 0.0000 0.5000 0.5000  0.00
30 In 0.8750 0.2500 0.6250  0.07
31 In 0.6250 0.7500 0.8750  0.07
32 In 0.8750 0.6250 0.7500  0.07
33 O 0.6258 0.1738 0.9800  -0.02
34 O 0.3542 0.4800 0.3062  -0.02
35 O 0.0200 0.3262 0.3742  -0.02
36 O 0.4800 0.1258 0.1738  -0.02
37 O 0.4520 0.6258 0.6458  -0.02
38 O 0.0200 0.6938 0.1458  -0.02
39 O 0.3542 0.8742 0.5480  -0.02
40 O 0.1938 0.0480 0.1738  -0.02
41 O 0.6938 0.0200 0.6458  -0.02
42 O 0.6258 0.4520 0.1458  -0.02
43 O 0.8742 0.5200 0.3262  -0.02
44 O 0.8542 0.8062 0.9800  -0.02
45 O 0.1738 0.6258 0.4800  -0.02
46 O 0.3262 0.3062 0.9520  -0.02
47 O 0.9520 0.8062 0.3262  -0.02
48 O 0.5480 0.1738 0.6938  -0.02
49 O 0.9520 0.1458 0.1258  -0.02
50 O 0.5200 0.6458 0.1938  -0.02
51 O 0.8542 0.0480 0.3742  -0.02
52 O 0.1738 0.5480 0.1938  -0.02
53 O 0.3262 0.0200 0.8742  -0.02
54 O 0.6938 0.6738 0.5480  -0.02
55 O 0.8062 0.8542 0.4800  -0.02
56 O 0.8742 0.3542 0.0480  -0.02
57 O 0.3062 0.3262 0.4520  -0.02
58 O 0.1938 0.1458 0.5200  -0.02
59 O 0.1258 0.6458 0.9520  -0.02
60 O 0.1458 0.9520 0.6258  -0.02
61 O 0.6738 0.9800 0.1258  -0.02
62 O 0.8262 0.4520 0.8062  -0.02
63 O 0.4800 0.3542 0.8062  -0.02
64 O 0.4520 0.8262 0.3062  -0.02
65 O 0.0480 0.8542 0.8742  -0.02
66 O 0.0480 0.1938 0.6738  -0.02
67 O 0.8262 0.3742 0.5200  -0.02
68 O 0.1458 0.1938 0.0200  -0.02
69 O 0.6738 0.6938 0.0480  -0.02
70 O 0.3062 0.9800 0.3542  -0.02
71 O 0.3742 0.5480 0.8542  -0.02
72 O 0.1258 0.4800 0.6738  -0.02
73 O 0.8062 0.9520 0.8262  -0.02
74 O 0.6458 0.1258 0.4520  -0.02
75 O 0.5200 0.8742 0.8262  -0.02
76 O 0.9800 0.3062 0.8542  -0.02
77 O 0.5480 0.3742 0.3542  -0.02
78 O 0.9800 0.6738 0.6258  -0.02
79 O 0.6458 0.5200 0.6938  -0.02
80 O 0.3742 0.8262 0.0200  -0.02

---

No. 4
Here is V2InO after structural relaxation from the Alexandria database. Energies are from PBE+U.

Polymorph energy (0 for the lowest one) in eV per atom: 1.1340
E in eV/atom: -4.749
DOS at the Fermi energy in states/eV/cell: 4.26

Cell lengths 4.5959, 4.5959, 4.5959 Å; angles 60.00, 60.00, 60.00 degrees
Each line ends with the local moment (μB).
Positions (direct):
1 In 0.5000 0.5000 0.5000  0.13
2 O 0.0000 0.0000 0.0000  0.10
3 V 0.2500 0.2500 0.2500  2.77
4 V 0.7500 0.7500 0.7500  2.77

---

No. 5
Here is V2InO6 after structural relaxation from the Alexandria database. Energies are from PBE+U.

Polymorph energy (0 for the lowest one) in eV per atom: 0.0000
E in eV/atom: -7.037
DOS at the Fermi energy in states/eV/cell: 2.23

Cell lengths 3.6269, 5.1304, 6.6958 Å; angles 69.55, 74.29, 69.30 degrees
Each line ends with the local moment (μB).
Positions (direct):
1 V 0.1778 0.7658 0.8785  0.62
2 V 0.8222 0.2342 0.1215  0.62
3 In 0.0000 0.5000 0.5000  0.02
4 O 0.7045 0.6673 0.9236  -0.08
5 O 0.2955 0.3327 0.0764  -0.08
6 O 0.9765 0.8506 0.1964  -0.04
7 O 0.3477 0.6872 0.6173  -0.02
8 O 0.0235 0.1494 0.8036  -0.04
9 O 0.6523 0.3128 0.3827  -0.02

---

No. 6
Here is VInO after structural relaxation from the Alexandria database. Energies are from PBE+U.

E in eV/atom: -5.416
DOS at the Fermi energy in states/eV/cell: 4.28

Cell lengths 6.1247, 6.1289, 6.9326 Å; angles 77.25, 63.79, 60.02 degrees
Each line ends with the local moment (μB).
Positions (direct):
1 In 0.1317 0.5000 0.7366  0.01
2 In 0.3683 0.5000 0.2634  0.01
3 In 0.6183 0.0000 0.7634  0.01
4 In 0.3817 0.0000 0.2366  0.01
5 V 0.6226 0.5000 0.7548  2.71
6 V 0.8774 0.5000 0.2452  2.71
7 V 0.1274 0.0000 0.7452  2.71
8 V 0.8726 0.0000 0.2548  2.71
9 O 0.8904 0.2192 0.5000  0.03
10 O 0.6096 0.7808 0.5000  0.03
11 O 0.8596 0.2808 0.0000  0.03
12 O 0.1404 0.7192 0.0000  0.03

---

No. 7
Here is VInO2 after structural relaxation from the Alexandria database. Energies are from PBE+U.

E in eV/atom: -6.337
DOS at the Fermi energy in states/eV/cell: 0.27

Cell lengths 5.7247, 5.7247, 5.8781 Å; angles 60.86, 60.86, 90.00 degrees
Each line ends with the local moment (μB).
Positions (direct):
1 In 0.0000 0.0000 0.0000  0.02
2 In 0.7500 0.2500 0.5000  0.02
3 O 0.5027 0.1250 0.2500  -0.04
4 O 0.2473 0.6250 0.2500  -0.04
5 O 0.3750 0.4973 0.7500  -0.04
6 O 0.8750 0.7527 0.7500  -0.04
7 V 0.5000 0.5000 0.0000  1.91
8 V 0.2500 0.7500 0.5000  1.91

---

No. 8
Here is V2InO6 after structural relaxation from the Alexandria database. Energies are from PBE+U.

Polymorph energy (0 for the lowest one) in eV per atom: 0.0251
E in eV/atom: -7.012
DOS at the Fermi energy in states/eV/cell: 5.16

Cell lengths 4.6612, 5.0102, 5.0102 Å; angles 120.00, 90.00, 90.00 degrees
Each line ends with the local moment (μB).
Positions (direct):
1 V 0.5000 0.6667 0.3333  0.68
2 V 0.5000 0.3333 0.6667  0.68
3 In 0.0000 0.0000 0.0000  0.03
4 O 0.7254 0.6394 0.6394  -0.07
5 O 0.2746 0.6394 0.0000  -0.07
6 O 0.2746 0.0000 0.6394  -0.07
7 O 0.7254 0.3606 0.0000  -0.07
8 O 0.2746 0.3606 0.3606  -0.07
9 O 0.7254 0.0000 0.3606  -0.07

---

- Which of these has the highest E?
  V2InO

---

- Which formula does entry 6 have?
  VInO

---

- E of number 7 (VInO2)?
  -6.337 eV/atom

---

Copy entry 1 word for word.
Here is VInO3 after structural relaxation from the Alexandria database. Energies are from PBE+U.

E in eV/atom: -6.524

Cell lengths 2.8358, 5.5408, 5.5513 Å; angles 61.05, 90.00, 90.00 degrees
Each line ends with the local moment (μB).
Positions (direct):
1 V 0.2201 0.0969 0.0585  1.91
2 In 0.2202 0.4331 0.3958  0.01
3 O 0.7202 0.2605 0.7443  -0.02
4 O 0.7201 0.2584 0.2208  -0.01
5 O 0.7202 0.7816 0.2247  -0.01